No. 1
A plane-wave DFT calculation with PBE was carried out for a relaxed structure of NaNiH3.

```
data_NaNiH3
_chemical_formula_sum 'Na2 Ni2 H6'
_space_group_name_H-M_alt 'P -1'
_space_group_IT_number 2
_space_group_name_Hall '-P 1'
_cell_length_a 4.6663
_cell_length_b 4.6679
_cell_length_c 5.4301
_cell_angle_alpha 64.59
_cell_angle_beta 64.64
_cell_angle_gamma 60.02
loop_
_atom_site_label
_atom_site_type_symbol
_atom_site_fract_x
_atom_site_fract_y
_atom_site_fract_z
_atom_site_occupancy
Na1 Na 0.1100 0.1100 0.1705 1
Ni1 Ni 0.3321 0.3321 0.5037 1
H1 H 0.0658 0.5240 0.3023 1
H2 H 0.3920 0.9338 0.6972 1
H3 H 0.4764 0.3924 0.6978 1
```

DOS(E_F) in states/eV/f.u.: 0.44
Total energy in eV per formula unit: -17.987
Calculated density in g/cm³: 3.2

No. 2
A plane-wave DFT calculation with PBE was carried out for a relaxed structure of Li2ZrBiSe.

```
data_Li2ZrBiSe
_chemical_formula_sum 'Li2 Zr1 Bi1 Se1'
_space_group_name_H-M_alt 'P 4/m m m'
_space_group_IT_number 123
_space_group_name_Hall '-P 4 2'
_cell_length_a 5.4906
_cell_length_b 5.4906
_cell_length_c 4.9711
_cell_angle_alpha 90.00
_cell_angle_beta 90.00
_cell_angle_gamma 90.00
loop_
_atom_site_label
_atom_site_type_symbol
_atom_site_fract_x
_atom_site_fract_y
_atom_site_fract_z
_atom_site_occupancy
Li1 Li 0.0000 0.5000 0.0000 1
Zr1 Zr 0.0000 0.0000 0.0000 1
Bi1 Bi 0.5000 0.5000 0.5000 1
Se1 Se 0.0000 0.0000 0.5000 1
```

DOS(E_F) in states/eV/f.u.: 3.69
Total energy in eV per formula unit: -17.787
ΔE_f (raw) in eV per atom: 0.39
Calculated density in g/cm³: 4.4

No. 3
A plane-wave DFT calculation with PBE was carried out for a relaxed structure of BaHg2Ru.

```
data_BaHg2Ru
_chemical_formula_sum 'Ba4 Hg8 Ru4'
_space_group_name_H-M_alt 'F -4 3 m'
_space_group_IT_number 216
_space_group_name_Hall 'F -4 2 3'
_cell_length_a 7.4708
_cell_length_b 7.4708
_cell_length_c 7.4708
_cell_angle_alpha 90.00
_cell_angle_beta 90.00
_cell_angle_gamma 90.00
loop_
_atom_site_label
_atom_site_type_symbol
_atom_site_fract_x
_atom_site_fract_y
_atom_site_fract_z
_atom_site_occupancy
Ba1 Ba 0.0000 0.0000 0.0000 1
Hg1 Hg 0.0000 0.0000 0.5000 1
Hg2 Hg 0.2500 0.2500 0.2500 1
Ru1 Ru 0.2500 0.2500 0.7500 1
```

DOS(E_F) in states/eV/f.u.: 7.77
Total energy in eV per formula unit: -9.962
Formation energy from the elements in eV/atom: 0.46
Calculated density in g/cm³: 10.2

No. 4
A plane-wave DFT calculation with PBE was carried out for a relaxed structure of Hf6Al2Ni.

```
data_Hf6Al2Ni
_chemical_formula_sum 'Hf6 Al2 Ni1'
_space_group_name_H-M_alt 'P -6 2 m'
_space_group_IT_number 189
_space_group_name_Hall 'P -6 -2'
_cell_length_a 7.8603
_cell_length_b 7.8603
_cell_length_c 3.3086
_cell_angle_alpha 90.00
_cell_angle_beta 90.00
_cell_angle_gamma 120.00
loop_
_atom_site_label
_atom_site_type_symbol
_atom_site_fract_x
_atom_site_fract_y
_atom_site_fract_z
_atom_site_occupancy
Hf1 Hf 0.0000 0.2552 0.0000 1
Hf2 Hf 0.0000 0.6012 0.5000 1
Al1 Al 0.3333 0.6667 0.0000 1
Ni1 Ni 0.0000 0.0000 0.5000 1
```

DOS(E_F) in states/eV/f.u.: 8.21
Total energy in eV per formula unit: -76.076
Formation energy from the elements in eV/atom: -0.34
Calculated density in g/cm³: 11.1

No. 5
A plane-wave DFT calculation with PBE was carried out for a relaxed structure of Sm2MgSn.

```
data_Sm2MgSn
_chemical_formula_sum 'Sm2 Mg1 Sn1'
_space_group_name_H-M_alt 'P 4/m m m'
_space_group_IT_number 123
_space_group_name_Hall '-P 4 2'
_cell_length_a 3.9311
_cell_length_b 3.9311
_cell_length_c 7.2800
_cell_angle_alpha 90.00
_cell_angle_beta 90.00
_cell_angle_gamma 90.00
loop_
_atom_site_label
_atom_site_type_symbol
_atom_site_fract_x
_atom_site_fract_y
_atom_site_fract_z
_atom_site_occupancy
Sm1 Sm 0.0000 0.0000 0.2493 1
Mg1 Mg 0.5000 0.5000 0.5000 1
Sn1 Sn 0.5000 0.5000 0.0000 1
```

DOS(E_F) in states/eV/f.u.: 2.19
Total energy in eV per formula unit: -16.657
Formation energy from the elements in eV/atom: -0.41
Calculated density in g/cm³: 6.5

No. 6
A plane-wave DFT calculation with PBE was carried out for a relaxed structure of Tb3CeDyTm.

```
data_Tb3CeDyTm
_chemical_formula_sum 'Tb12 Ce4 Dy4 Tm4'
_space_group_name_H-M_alt 'C m c m'
_space_group_IT_number 63
_space_group_name_Hall '-C 2c 2'
_cell_length_a 5.6331
_cell_length_b 11.7746
_cell_length_c 11.4206
_cell_angle_alpha 90.00
_cell_angle_beta 90.00
_cell_angle_gamma 90.00
loop_
_atom_site_label
_atom_site_type_symbol
_atom_site_fract_x
_atom_site_fract_y
_atom_site_fract_z
_atom_site_occupancy
Tb1 Tb 0.0000 0.1371 0.2500 1
Tb2 Tb 0.0000 0.3264 0.0324 1
Ce1 Ce 0.0000 0.4711 0.7500 1
Dy1 Dy 0.0000 0.0000 0.0000 1
Tm1 Tm 0.0000 0.1718 0.7500 1
```

DOS(E_F) in states/eV/f.u.: 14.25
Total energy in eV per formula unit: -27.950
Formation energy from the elements in eV/atom: 0.16
Calculated density in g/cm³: 8.3